# 1
Entry from Alexandria: a relaxed structure of Be2TlBiSb (GGA-PBE).

Summary:
ΔE_f (raw): 0.89 eV/atom
Spin magnetization: 0.00 μB/f.u.
ρ: 6.9 g cm⁻³

a b c (Å): 4.579 6.347 4.579
angles (deg): 90.00 90.00 90.00
Positions (direct):
Tl: 0.000 0.000 0.000
Bi: 0.500 0.500 0.500
Be: 0.000 0.000 0.500
Be: 0.500 0.000 0.000
Sb: 0.000 0.500 0.000

---

# 2
Entry from Alexandria: a relaxed structure of ScBeBi3 (GGA-PBE).

Summary:
Spin magnetization: 0.00 μB/f.u.
Energy above the most stable polymorph in this dataset: 8.61 kcal/mol of atoms
ρ: 6.5 g cm⁻³

a b c (Å): 5.571 5.571 5.571
angles (deg): 90.00 90.00 90.00
Positions (direct):
Sc: 0.000 0.000 0.000
Bi: 0.000 0.500 0.000
Bi: 0.000 0.000 0.500
Bi: 0.500 0.000 0.000
Be: 0.500 0.500 0.500

---

# 3
Entry from Alexandria: a relaxed structure of Sc6BeBi2 (GGA-PBE).

Summary:
Spin magnetization: 2.26 μB/f.u.
Energy: -5.85 eV per atom
ρ: 5.6 g cm⁻³

a b c (Å): 3.929 7.813 7.813
angles (deg): 120.00 90.00 90.00
Each line ends with the local moment (μB).
Positions (direct):
Be: 0.500 0.000 0.000  -0.01
Sc: 0.000 0.766 0.766  0.24
Sc: 0.500 0.387 0.387  0.20
Sc: 0.500 0.613 0.000  0.20
Sc: 0.500 0.000 0.613  0.20
Sc: 0.000 0.000 0.234  0.24
Sc: 0.000 0.234 0.000  0.24
Bi: 0.000 0.667 0.333  -0.01
Bi: 0.000 0.333 0.667  -0.01

---

# 4
Entry from Alexandria: a relaxed structure of ScBeBi3 (GGA-PBE).

Summary:
Spin magnetization: 0.00 μB/f.u.
Energy above the most stable polymorph in this dataset: 0.00 kcal/mol of atoms
ρ: 8.3 g cm⁻³

a b c (Å): 5.141 5.141 5.141
angles (deg): 90.00 90.00 90.00
Positions (direct):
Sc: 0.500 0.500 0.500
Bi: 0.000 0.000 0.500
Bi: 0.000 0.500 0.000
Bi: 0.500 0.000 0.000
Be: 0.000 0.000 0.000

---

# 5
Entry from Alexandria: a relaxed structure of ScBeBi2 (GGA-PBE).

Summary:
Spin magnetization: 0.00 μB/f.u.
Energy: -4.41 eV per atom
ρ: 8.0 g cm⁻³

a b c (Å): 7.427 7.427 6.339
angles (deg): 54.14 54.14 90.00
Positions (direct):
Bi: 0.571 0.125 0.250
Bi: 0.875 0.821 0.750
Bi: 0.375 0.429 0.750
Bi: 0.179 0.625 0.250
Sc: 0.000 0.000 0.000
Sc: 0.750 0.250 0.500
Be: 0.500 0.500 0.000
Be: 0.250 0.750 0.500

---

# 6
Entry from Alexandria: a relaxed structure of Sc2BeBiSe (GGA-PBE).

Summary:
ΔE_f (raw): -0.27 eV/atom
Spin magnetization: 0.00 μB/f.u.
ρ: 5.8 g cm⁻³

a b c (Å): 5.135 4.220 5.135
angles (deg): 90.00 90.00 90.00
Positions (direct):
Be: 0.000 0.500 0.000
Bi: 0.500 0.500 0.500
Se: 0.000 0.000 0.000
Sc: 0.500 0.000 0.000
Sc: 0.000 0.000 0.500

---

# 7
Entry from Alexandria: a relaxed structure of ScBe2SiBi (GGA-PBE).

Summary:
ΔE_f (raw): 1.10 eV/atom
Spin magnetization: 0.00 μB/f.u.
ρ: 4.3 g cm⁻³

a b c (Å): 4.515 5.702 4.515
angles (deg): 90.00 90.00 90.00
Positions (direct):
Be: 0.000 0.000 0.500
Be: 0.500 0.000 0.000
Si: 0.500 0.500 0.500
Sc: 0.000 0.500 0.000
Bi: 0.000 0.000 0.000

---

# 8
Entry from Alexandria: a relaxed structure of ScBeTcBi2 (GGA-PBE).

Summary:
Spin magnetization: 3.62 μB/f.u.
Energy: -4.27 eV per atom
ρ: 6.6 g cm⁻³

a b c (Å): 5.513 4.730 5.513
angles (deg): 90.00 90.00 90.00
Each line ends with the local moment (μB).
Positions (direct):
Bi: 0.000 0.000 0.500  -0.07
Bi: 0.500 0.000 0.000  -0.08
Be: 0.000 0.500 0.000  -0.04
Sc: 0.000 0.000 0.000  -0.10
Tc: 0.500 0.500 0.500  3.43

---

# 9
Entry from Alexandria: a relaxed structure of ScBeBi2Te (GGA-PBE).

Summary:
ΔE_f (raw): 0.19 eV/atom
Spin magnetization: 0.00 μB/f.u.
ρ: 7.6 g cm⁻³

a b c (Å): 4.985 5.299 4.985
angles (deg): 90.00 90.00 90.00
Positions (direct):
Be: 0.000 0.000 0.000
Bi: 0.500 0.000 0.000
Bi: 0.000 0.000 0.500
Te: 0.500 0.500 0.500
Sc: 0.000 0.500 0.000

---

# 10
Entry from Alexandria: a relaxed structure of BeBiSe (GGA-PBE).

Summary:
ΔE_f (raw): -0.36 eV/atom
Spin magnetization: 0.00 μB/f.u.
Energy above the most stable polymorph in this dataset: 1.32 kcal/mol of atoms
ρ: 6.0 g cm⁻³

a b c (Å): 3.734 3.734 11.778
angles (deg): 90.00 90.02 90.00
Positions (direct):
Se: 0.309 0.000 0.333
Se: 0.808 0.500 0.108
Be: 0.308 0.500 0.221
Be: 0.808 0.000 0.221
Bi: 0.823 0.500 0.646
Bi: 0.323 0.000 0.792

---

# 11
Entry from Alexandria: a relaxed structure of BeBiSe (GGA-PBE).

Summary:
ΔE_f (raw): -0.42 eV/atom
Spin magnetization: 0.00 μB/f.u.
Energy above the most stable polymorph in this dataset: 0.00 kcal/mol of atoms
ρ: 6.4 g cm⁻³

a b c (Å): 3.582 3.582 13.868
angles (deg): 90.00 92.44 119.99
Positions (direct):
Bi: 0.725 0.060 0.169
Bi: 0.774 0.085 0.388
Be: 0.303 0.321 0.725
Be: 0.995 0.667 0.836
Se: 0.341 0.340 0.893
Se: 0.958 0.648 0.669

---

# 12
Entry from Alexandria: a relaxed structure of BeBiSe (GGA-PBE).

Summary:
ΔE_f (raw): -0.29 eV/atom
Spin magnetization: 0.00 μB/f.u.
Energy above the most stable polymorph in this dataset: 3.04 kcal/mol of atoms
ρ: 5.8 g cm⁻³

a b c (Å): 3.638 3.637 14.989
angles (deg): 92.58 93.48 119.95
Positions (direct):
Se: 0.955 0.994 0.066
Se: 0.702 0.778 0.377
Be: 0.377 0.119 0.395
Be: 0.287 0.659 0.064
Bi: 0.195 0.620 0.795
Bi: 0.457 0.218 0.625

---

# 13
Entry from Alexandria: a relaxed structure of Be2BiSe (GGA-PBE).

Summary:
ΔE_f (raw): -0.04 eV/atom
Spin magnetization: 0.00 μB/f.u.
Energy above the most stable polymorph in this dataset: 0.00 kcal/mol of atoms
ρ: 6.1 g cm⁻³

a b c (Å): 5.607 5.607 6.645
angles (deg): 65.05 65.05 90.00
Positions (direct):
Se: 0.250 0.750 0.500
Se: 0.500 0.500 0.000
Be: 0.375 0.423 0.750
Be: 0.875 0.827 0.750
Be: 0.173 0.625 0.250
Be: 0.577 0.125 0.250
Bi: 0.000 0.000 0.000
Bi: 0.750 0.250 0.500

---

# 14
Entry from Alexandria: a relaxed structure of Be2BiSe (GGA-PBE).

Summary:
ΔE_f (raw): 0.77 eV/atom
Spin magnetization: 0.00 μB/f.u.
Energy above the most stable polymorph in this dataset: 18.80 kcal/mol of atoms
ρ: 7.1 g cm⁻³

a b c (Å): 4.656 4.656 4.656
angles (deg): 60.00 60.00 60.00
Positions (direct):
Be: 0.750 0.750 0.750
Be: 0.250 0.250 0.250
Se: 0.000 0.000 0.000
Bi: 0.500 0.500 0.500

---

# 15
Entry from Alexandria: a relaxed structure of BeBiSe (GGA-PBE).

Summary:
ΔE_f (raw): -0.39 eV/atom
Spin magnetization: 0.00 μB/f.u.
Energy above the most stable polymorph in this dataset: 0.76 kcal/mol of atoms
ρ: 6.1 g cm⁻³

a b c (Å): 3.498 3.498 26.523
angles (deg): 90.00 97.50 90.00
Positions (direct):
Be: 0.067 0.000 0.193
Be: 0.567 0.500 0.193
Be: 0.567 0.000 0.693
Be: 0.067 0.500 0.693
Bi: 0.242 0.500 0.386
Bi: 0.354 0.500 0.499
Bi: 0.242 0.000 0.886
Bi: 0.354 0.000 0.999
Se: 0.014 0.000 0.640
Se: 0.619 0.000 0.246
Se: 0.619 0.500 0.746
Se: 0.014 0.500 0.140

---

# 16
Entry from Alexandria: a relaxed structure of BeBi2Se (GGA-PBE).

Summary:
ΔE_f (raw): 0.28 eV/atom
Spin magnetization: 0.00 μB/f.u.
Energy above the most stable polymorph in this dataset: 0.00 kcal/mol of atoms
ρ: 6.8 g cm⁻³

a b c (Å): 6.244 6.244 7.696
angles (deg): 66.07 66.07 90.00
Positions (direct):
Be: 0.500 0.500 0.000
Be: 0.250 0.750 0.500
Bi: 0.564 0.125 0.250
Bi: 0.375 0.436 0.750
Bi: 0.875 0.814 0.750
Bi: 0.186 0.625 0.250
Se: 0.000 0.000 0.000
Se: 0.750 0.250 0.500

---

# 17
Entry from Alexandria: a relaxed structure of BeBiSe (GGA-PBE).

Summary:
ΔE_f (raw): -0.39 eV/atom
Spin magnetization: 0.00 μB/f.u.
Energy above the most stable polymorph in this dataset: 0.79 kcal/mol of atoms
ρ: 7.0 g cm⁻³

a b c (Å): 12.645 3.566 6.232
angles (deg): 90.00 90.11 90.00
Positions (direct):
Be: 0.305 0.500 0.422
Be: 0.305 0.000 0.922
Be: 0.067 0.500 0.088
Be: 0.067 0.000 0.588
Se: 0.123 0.500 0.420
Se: 0.123 0.000 0.920
Se: 0.365 0.500 0.090
Se: 0.365 0.000 0.590
Bi: 0.857 0.500 0.086
Bi: 0.857 0.000 0.586
Bi: 0.604 0.500 0.088
Bi: 0.604 0.000 0.588

---

# 18
Entry from Alexandria: a relaxed structure of BeBi2Se (GGA-PBE).

Summary:
ΔE_f (raw): 0.51 eV/atom
Spin magnetization: 0.00 μB/f.u.
Energy above the most stable polymorph in this dataset: 5.30 kcal/mol of atoms
ρ: 8.8 g cm⁻³

a b c (Å): 5.136 5.136 5.136
angles (deg): 60.00 60.00 60.00
Positions (direct):
Be: 0.000 0.000 0.000
Se: 0.500 0.500 0.500
Bi: 0.250 0.250 0.250
Bi: 0.750 0.750 0.750

---

# 19
Entry from Alexandria: a relaxed structure of BeBi3Se (GGA-PBE).

Summary:
ΔE_f (raw): 0.49 eV/atom
Spin magnetization: 0.00 μB/f.u.
Energy above the most stable polymorph in this dataset: 0.00 kcal/mol of atoms
ρ: 8.9 g cm⁻³

a b c (Å): 5.108 5.108 5.108
angles (deg): 90.00 90.00 90.00
Positions (direct):
Bi: 0.000 0.500 0.000
Bi: 0.500 0.000 0.000
Bi: 0.000 0.000 0.500
Be: 0.000 0.000 0.000
Se: 0.500 0.500 0.500

---

# 20
Entry from Alexandria: a relaxed structure of BeBiSe (GGA-PBE).

Summary:
ΔE_f (raw): -0.32 eV/atom
Spin magnetization: 0.00 μB/f.u.
Energy above the most stable polymorph in this dataset: 2.28 kcal/mol of atoms
ρ: 5.7 g cm⁻³

a b c (Å): 3.603 3.603 15.341
angles (deg): 92.92 92.51 119.98
Positions (direct):
Bi: 0.573 0.074 0.834
Bi: 0.493 0.990 0.634
Se: 0.985 0.820 0.063
Se: 0.897 0.880 0.375
Be: 0.642 0.143 0.038
Be: 0.231 0.547 0.376

---

# 21
Entry from Alexandria: a relaxed structure of BeBiSe (GGA-PBE).

Summary:
ΔE_f (raw): -0.31 eV/atom
Spin magnetization: 0.00 μB/f.u.
Energy above the most stable polymorph in this dataset: 2.66 kcal/mol of atoms
ρ: 6.8 g cm⁻³

a b c (Å): 13.778 3.610 5.825
angles (deg): 90.00 90.00 90.00
Positions (direct):
Bi: 0.000 0.500 0.662
Bi: 0.500 0.500 0.666
Bi: 0.000 0.000 0.166
Bi: 0.500 0.000 0.162
Be: 0.189 0.000 0.307
Be: 0.311 0.500 0.807
Be: 0.689 0.500 0.807
Be: 0.811 0.000 0.307
Se: 0.206 0.500 0.520
Se: 0.294 0.000 0.020
Se: 0.706 0.000 0.020
Se: 0.794 0.500 0.520

---

# 22
Entry from Alexandria: a relaxed structure of BeBiSe (GGA-PBE).

Summary:
ΔE_f (raw): -0.39 eV/atom
Spin magnetization: 0.00 μB/f.u.
Energy above the most stable polymorph in this dataset: 0.70 kcal/mol of atoms
ρ: 7.0 g cm⁻³

a b c (Å): 12.822 3.567 6.234
angles (deg): 90.00 99.83 90.00
Positions (direct):
Bi: 0.954 0.500 0.056
Bi: 0.954 0.000 0.556
Bi: 0.207 0.500 0.137
Bi: 0.207 0.000 0.637
Se: 0.688 0.500 0.632
Se: 0.688 0.000 0.132
Se: 0.447 0.000 0.716
Se: 0.447 0.500 0.216
Be: 0.506 0.500 0.569
Be: 0.744 0.000 0.484
Be: 0.506 0.000 0.069
Be: 0.744 0.500 0.984

---

# 23
Entry from Alexandria: a relaxed structure of TaBeBiSe2 (GGA-PBE).

Summary:
ΔE_f (raw): 0.81 eV/atom
Spin magnetization: 0.00 μB/f.u.
ρ: 8.9 g cm⁻³

a b c (Å): 4.486 5.144 4.486
angles (deg): 90.00 90.00 90.00
Positions (direct):
Ta: 0.500 0.500 0.500
Se: 0.000 0.000 0.500
Se: 0.500 0.000 0.000
Bi: 0.000 0.500 0.000
Be: 0.000 0.000 0.000

---

# 24
Entry from Alexandria: a relaxed structure of TiBeBi2Se (GGA-PBE).

Summary:
ΔE_f (raw): 0.51 eV/atom
Spin magnetization: 0.00 μB/f.u.
ρ: 6.4 g cm⁻³

a b c (Å): 5.484 4.756 5.484
angles (deg): 90.00 90.00 90.00
Positions (direct):
Be: 0.500 0.500 0.500
Se: 0.000 0.500 0.000
Bi: 0.500 0.000 0.000
Bi: 0.000 0.000 0.500
Ti: 0.000 0.000 0.000

---

# 25
Entry from Alexandria: a relaxed structure of Be2Si2Bi (GGA-PBE).

Summary:
ΔE_f (raw): 0.44 eV/atom
Spin magnetization: 0.00 μB/f.u.
ρ: 5.8 g cm⁻³

a b c (Å): 4.082 4.082 5.654
angles (deg): 68.84 68.84 90.00
Positions (direct):
Be: 0.250 0.750 0.500
Be: 0.750 0.250 0.500
Bi: 0.000 0.000 0.000
Si: 0.623 0.623 0.753
Si: 0.377 0.377 0.247

---

# 26
Entry from Alexandria: a relaxed structure of Be3SiBi (GGA-PBE).

Summary:
ΔE_f (raw): 1.67 eV/atom
Spin magnetization: 0.00 μB/f.u.
Energy above the most stable polymorph in this dataset: 20.44 kcal/mol of atoms
ρ: 4.2 g cm⁻³

a b c (Å): 4.726 4.726 4.726
angles (deg): 90.00 90.00 90.00
Positions (direct):
Be: 0.000 0.000 0.500
Be: 0.500 0.000 0.000
Be: 0.000 0.500 0.000
Si: 0.500 0.500 0.500
Bi: 0.000 0.000 0.000